Density functional theory data (PBE with a Hubbard U) for crystalline NbNiF3 at its relaxed geometry.

Properties
The total magnetization is 0.00 μB per formula unit. The volume comes out at 72.3 Å³ per cell. The value obtained for the relative energy among the computed polymorphs is 0 kJ/mol of formula units.

The structure in CIF format:
```
data_NbNiF3
_chemical_formula_sum 'Nb1 Ni1 F3'
_cell_length_a 4.166
_cell_length_b 4.166
_cell_length_c 4.166
_cell_angle_alpha 90.00
_cell_angle_beta 90.00
_cell_angle_gamma 90.00
_symmetry_space_group_name_H-M 'P 1'
_symmetry_Int_Tables_number 1
_symmetry_space_group_name_Hall 'P 1'
loop_
_atom_site_label
_atom_site_type_symbol
_atom_site_fract_x
_atom_site_fract_y
_atom_site_fract_z
Nb1 Nb 0.000 0.000 0.000
Ni1 Ni 0.500 0.500 0.500
F1 F 0.000 0.000 0.500
F2 F 0.000 0.500 0.000
F3 F 0.500 0.000 0.000
```